*i*
A relaxed TiCdSbTe2 crystal, computed with PBE-GGA.

The space group is P4/mmm (No. 123) and the conventional cell measures 5.5402, 5.5402 and 5.3785 Å, with angles of 90.00, 90.00 and 90.00 degrees. The asymmetric unit holds Ti at (0.0000, 0.0000, 0.0000), Cd at (0.5000, 0.5000, 0.5000), Sb at (0.5000, 0.5000, 0.0000) and Te at (0.0000, 0.5000, 0.5000).

***

*ii*
A relaxed TiCdSbTe2 crystal, computed with PBE-GGA.

The space group is P4/mmm (No. 123) and the conventional cell measures 5.3219, 5.3219 and 5.3862 Å, with angles of 90.00, 90.00 and 90.00 degrees. The asymmetric unit holds Ti at (0.0000, 0.0000, 0.0000), Cd at (0.5000, 0.5000, 0.5000), Sb at (0.0000, 0.0000, 0.5000) and Te at (0.0000, 0.5000, 0.0000).

***

Verdict on stability: *ii* comes out on top.

***

*i*
A relaxed VCdSbTe2 crystal, computed with PBE-GGA.

The space group is P4/mmm (No. 123) and the conventional cell measures 5.2059, 5.2059 and 5.2618 Å, with angles of 90.00, 90.00 and 90.00 degrees. The asymmetric unit holds V at (0.0000, 0.0000, 0.0000), Cd at (0.5000, 0.5000, 0.5000), Sb at (0.0000, 0.0000, 0.5000) and Te at (0.0000, 0.5000, 0.0000).

***

*ii*
A relaxed VCdSbTe2 crystal, computed with PBE-GGA.

The space group is P4/mmm (No. 123) and the conventional cell measures 5.5681, 5.5681 and 5.3676 Å, with angles of 90.00, 90.00 and 90.00 degrees. The asymmetric unit holds V at (0.0000, 0.0000, 0.0000), Cd at (0.5000, 0.5000, 0.5000), Sb at (0.5000, 0.5000, 0.0000) and Te at (0.0000, 0.5000, 0.5000).

***

Verdict on stability: *i* comes out on top.

***

*i*
A relaxed VCdSb2Te crystal, computed with PBE-GGA.

The space group is P4/mmm (No. 123) and the conventional cell measures 5.1919, 5.1919 and 5.1833 Å, with angles of 90.00, 90.00 and 90.00 degrees. The asymmetric unit holds V at (0.0000, 0.0000, 0.0000), Cd at (0.5000, 0.5000, 0.5000), Sb at (0.0000, 0.5000, 0.0000) and Te at (0.0000, 0.0000, 0.5000).

***

*ii*
A relaxed VCdSb2Te crystal, computed with PBE-GGA.

The space group is P4/mmm (No. 123) and the conventional cell measures 5.4109, 5.4109 and 5.6556 Å, with angles of 90.00, 90.00 and 90.00 degrees. The asymmetric unit holds V at (0.0000, 0.0000, 0.0000), Cd at (0.5000, 0.5000, 0.5000), Sb at (0.0000, 0.5000, 0.5000) and Te at (0.5000, 0.5000, 0.0000).

***

Verdict on stability: *i* comes out on top.

***

*i*
A relaxed ThCdSb2 crystal, computed with PBE-GGA.

The space group is R-3m (No. 166, hexagonal axes) and the conventional cell measures 4.5768, 4.5768 and 20.4889 Å, with angles of 90.00, 90.00 and 120.00 degrees. The asymmetric unit holds Th at (0.0000, 0.0000, 0.0000), Cd at (0.0000, 0.0000, 0.5000) and Sb at (0.0000, 0.0000, 0.2474).

***

*ii*
A relaxed ThCdSb2 crystal, computed with PBE-GGA.

The space group is P4/mmm (No. 123) and the conventional cell measures 5.0877, 5.0877 and 4.1382 Å, with angles of 90.00, 90.00 and 90.00 degrees. The asymmetric unit holds Th at (0.0000, 0.0000, 0.0000), Cd at (0.5000, 0.5000, 0.0000) and Sb at (0.0000, 0.5000, 0.5000).

***

Verdict on stability: *ii* comes out on top.

***

*i*
A relaxed TiCd3Sb crystal, computed with PBE-GGA.

The space group is Pm-3m (No. 221) and the conventional cell measures 5.3277, 5.3277 and 5.3277 Å, with angles of 90.00, 90.00 and 90.00 degrees. The asymmetric unit holds Ti at (0.0000, 0.0000, 0.0000), Cd at (0.0000, 0.0000, 0.5000) and Sb at (0.5000, 0.5000, 0.5000).

***

*ii*
A relaxed TiCd3Sb crystal, computed with PBE-GGA.

The space group is Pm-3m (No. 221) and the conventional cell measures 5.5056, 5.5056 and 5.5056 Å, with angles of 90.00, 90.00 and 90.00 degrees. The asymmetric unit holds Ti at (0.0000, 0.0000, 0.0000), Cd at (0.0000, 0.5000, 0.5000) and Sb at (0.5000, 0.5000, 0.5000).

***

Verdict on stability: *i* comes out on top.

***

*i*
A relaxed TlCd2Sb crystal, computed with PBE-GGA.

The space group is Cmmm (No. 65) and the conventional cell measures 4.3430, 5.1242 and 9.5710 Å, with angles of 90.00, 90.00 and 90.00 degrees. The asymmetric unit holds Tl at (0.0000, 0.0000, 0.0000), Cd at (0.0000, 0.5000, 0.2554) and Sb at (0.0000, 0.0000, 0.5000).

***

*ii*
A relaxed TlCd2Sb crystal, computed with PBE-GGA.

The space group is R3m (No. 160, hexagonal axes) and the conventional cell measures 4.7248, 4.7248 and 18.4511 Å, with angles of 90.00, 90.00 and 120.00 degrees. The asymmetric unit holds Tl at (0.0000, 0.0000, 0.0000), Cd at (0.0000, 0.0000, 0.2329), Cd at (0.0000, 0.0000, 0.4183) and Sb at (0.0000, 0.0000, 0.8218).

***

*iii*
A relaxed TlCd2Sb crystal, computed with PBE-GGA.

The space group is I-4m2 (No. 119) and the conventional cell measures 4.5779, 4.5779 and 10.2005 Å, with angles of 90.00, 90.00 and 90.00 degrees. The asymmetric unit holds Tl at (0.0000, 0.0000, 0.0000), Cd at (0.0000, 0.0000, 0.5000), Cd at (0.0000, 0.5000, 0.7500) and Sb at (0.0000, 0.5000, 0.2500).

***

*iv*
A relaxed TlCd2Sb crystal, computed with PBE-GGA.

The space group is Cm (No. 8) and the conventional cell measures 11.1185, 3.3331 and 5.9224 Å, with angles of 90.00, 104.88 and 90.00 degrees. The asymmetric unit holds Tl at (0.0000, 0.0000, 0.0000), Cd at (0.0156, 0.5000, 0.5110), Cd at (0.2444, 0.0000, 0.7739) and Sb at (0.2685, 0.5000, 0.3027).

***

Verdict on stability: *ii* comes out on top.